Record 1
# Pr3Nd2Sm2, optimized geometry, DFT GGA-PBE
data_Pr3Nd2Sm2
_chemical_formula_sum 'Pr6 Nd4 Sm4'
_symmetry_space_group_name_H-M 'C 1 2/m 1'
_symmetry_Int_Tables_number 12
_cell_length_a 17.9144
_cell_length_b 3.5809
_cell_length_c 8.8466
_cell_angle_alpha 90.00
_cell_angle_beta 118.77
_cell_angle_gamma 90.00
loop_
_symmetry_equiv_pos_as_xyz
'x,y,z'
'-x,-y,-z'
'-x,y,-z'
'x,-y,z'
'x+1/2,y+1/2,z'
'-x+1/2,-y+1/2,-z'
'-x+1/2,y+1/2,-z'
'x+1/2,-y+1/2,z'
loop_
_atom_site_label
_atom_site_fract_x
_atom_site_fract_y
_atom_site_fract_z
Pr1 0.0000 0.0000 0.0000
Pr2 0.2136 0.0000 0.3024
Nd1 0.1459 0.0000 0.8284
Sm1 0.0642 0.5000 0.4071
# Formation enthalpy at 0 K ... 98 meV/atom
# ΔE to the lowest computed polymorph ... 0.084 eV per atom
# ρ ... 6.8 Mg/m³



Record 2
# Pr5Nd3Sm3, optimized geometry, DFT GGA-PBE
data_Pr5Nd3Sm3
_chemical_formula_sum 'Pr5 Nd3 Sm3'
_symmetry_space_group_name_H-M 'P -6 2 m'
_symmetry_Int_Tables_number 189
_symmetry_space_group_name_Hall 'P -6 -2'
_cell_length_a 11.4796
_cell_length_b 11.4796
_cell_length_c 3.5154
_cell_angle_alpha 90.00
_cell_angle_beta 90.00
_cell_angle_gamma 120.00
loop_
_atom_site_label
_atom_site_fract_x
_atom_site_fract_y
_atom_site_fract_z
Pr1 0.0000 0.8384 0.0000
Pr2 0.3333 0.6667 0.0000
Nd1 0.0000 0.5969 0.5000
Sm1 0.0000 0.3404 0.0000
# Formation enthalpy at 0 K ... 304 meV/atom
# ΔE to the lowest computed polymorph ... 0.012 eV per atom
# ρ ... 6.6 Mg/m³



Record 3
# Pr3Nd3Sm, optimized geometry, DFT GGA-PBE
data_Pr3Nd3Sm
_chemical_formula_sum 'Pr6 Nd6 Sm2'
_symmetry_space_group_name_H-M 'P 63/m'
_symmetry_Int_Tables_number 176
_symmetry_space_group_name_Hall '-P 6c'
_cell_length_a 9.8625
_cell_length_b 9.8625
_cell_length_c 5.9601
_cell_angle_alpha 90.00
_cell_angle_beta 90.00
_cell_angle_gamma 120.00
loop_
_atom_site_label
_atom_site_fract_x
_atom_site_fract_y
_atom_site_fract_z
Pr1 0.0951 0.4755 0.2500
Nd1 0.0464 0.2378 0.7500
Sm1 0.3333 0.6667 0.7500
# Formation enthalpy at 0 K ... 31 meV/atom
# ΔE to the lowest computed polymorph ... 0.000 eV per atom
# ρ ... 6.7 Mg/m³



Record 4
# PrNd12Sm6, optimized geometry, DFT GGA-PBE
data_PrNd12Sm6
_chemical_formula_sum 'Pr3 Nd36 Sm18'
_symmetry_space_group_name_H-M 'R -3'
_symmetry_Int_Tables_number 148
_symmetry_space_group_name_Hall '-R 3'
_cell_length_a 12.2947
_cell_length_b 12.2947
_cell_length_c 15.4135
_cell_angle_alpha 90.00
_cell_angle_beta 90.00
_cell_angle_gamma 120.00
loop_
_atom_site_label
_atom_site_fract_x
_atom_site_fract_y
_atom_site_fract_z
Pr1 0.0000 0.0000 0.0000
Nd1 0.0047 0.8304 0.1914
Nd2 0.0470 0.8508 0.4168
Sm1 0.0127 0.4243 0.6850
# Formation enthalpy at 0 K ... 129 meV/atom
# ΔE to the lowest computed polymorph ... 0.116 eV per atom
# ρ ... 6.8 Mg/m³



Record 5
# Pr8NdSm5, optimized geometry, DFT GGA-PBE
data_Pr8NdSm5
_chemical_formula_sum 'Pr16 Nd2 Sm10'
_symmetry_space_group_name_H-M 'I -4'
_symmetry_Int_Tables_number 82
_cell_length_a 9.8072
_cell_length_b 9.8072
_cell_length_c 10.4904
_cell_angle_alpha 90.00
_cell_angle_beta 90.00
_cell_angle_gamma 90.00
loop_
_symmetry_equiv_pos_as_xyz
'x,y,z'
'y,-x,-z'
'-x,-y,z'
'-y,x,-z'
'x+1/2,y+1/2,z+1/2'
'y+1/2,-x+1/2,-z+1/2'
'-x+1/2,-y+1/2,z+1/2'
'-y+1/2,x+1/2,-z+1/2'
loop_
_atom_site_label
_atom_site_fract_x
_atom_site_fract_y
_atom_site_fract_z
Pr1 0.0708 0.1749 0.1486
Pr2 0.0826 0.3176 0.4957
Nd1 0.0000 0.0000 0.5000
Sm1 0.0000 0.5000 0.2500
Sm2 0.1074 0.2932 0.8226
# Formation enthalpy at 0 K ... 224 meV/atom
# ρ ... 6.7 Mg/m³



Record 6
# Pr5Nd3Sm2, optimized geometry, DFT GGA-PBE
data_Pr5Nd3Sm2
_chemical_formula_sum 'Pr20 Nd12 Sm8'
_symmetry_space_group_name_H-M 'I b a m'
_symmetry_Int_Tables_number 72
_symmetry_space_group_name_Hall '-I 2 2c'
_cell_length_a 12.3949
_cell_length_b 17.4725
_cell_length_c 6.6592
_cell_angle_alpha 90.00
_cell_angle_beta 90.00
_cell_angle_gamma 90.00
loop_
_atom_site_label
_atom_site_fract_x
_atom_site_fract_y
_atom_site_fract_z
Pr1 0.0000 0.0000 0.2500
Pr2 0.2457 0.3291 0.0000
Pr3 0.2493 0.5000 0.2500
Nd1 0.0000 0.5000 0.2500
Nd2 0.0845 0.1682 0.0000
Sm1 0.0876 0.3321 0.5000
# Formation enthalpy at 0 K ... 258 meV/atom
# ΔE to the lowest computed polymorph ... 0.102 eV per atom
# ρ ... 6.6 Mg/m³



Record 7
# Pr10NdSm4, optimized geometry, DFT GGA-PBE
data_Pr10NdSm4
_chemical_formula_sum 'Pr20 Nd2 Sm8'
_symmetry_space_group_name_H-M 'I 4/m'
_symmetry_Int_Tables_number 87
_symmetry_space_group_name_Hall '-I 4'
_cell_length_a 12.5399
_cell_length_b 12.5399
_cell_length_c 7.9084
_cell_angle_alpha 90.00
_cell_angle_beta 90.00
_cell_angle_gamma 90.00
loop_
_atom_site_label
_atom_site_fract_x
_atom_site_fract_y
_atom_site_fract_z
Pr1 0.0000 0.5000 0.2500
Pr2 0.0997 0.2009 0.2493
Nd1 0.0000 0.0000 0.5000
Sm1 0.1005 0.7005 0.0000
# Formation enthalpy at 0 K ... 691 meV/atom
# ρ ... 5.8 Mg/m³



Record 8
# Pr4Nd3Sm5, optimized geometry, DFT GGA-PBE
data_Pr4Nd3Sm5
_chemical_formula_sum 'Pr4 Nd3 Sm5'
_symmetry_space_group_name_H-M 'P -1'
_symmetry_Int_Tables_number 2
_cell_length_a 6.3609
_cell_length_b 7.3335
_cell_length_c 8.9997
_cell_angle_alpha 90.03
_cell_angle_beta 90.08
_cell_angle_gamma 90.02
loop_
_symmetry_equiv_pos_as_xyz
'x,y,z'
'-x,-y,-z'
loop_
_atom_site_label
_atom_site_fract_x
_atom_site_fract_y
_atom_site_fract_z
Pr1 0.1672 0.0005 0.1684
Pr2 0.3329 0.2510 0.8322
Nd1 0.3328 0.7485 0.8321
Nd2 0.5000 0.5000 0.5000
Sm1 0.9998 0.2510 0.4998
Sm2 0.1660 0.5004 0.1679
Sm3 0.5000 0.0000 0.5000
# Formation enthalpy at 0 K ... 13 meV/atom
# ΔE to the lowest computed polymorph ... 0.000 eV per atom
# ρ ... 6.9 Mg/m³